# 1
MnZn2PdW (PBE, relaxed); Fermi-level density of states = 5.6 states/eV per cell; size of the total moment = 3.283 Bohr magnetons per cell; formation energy = 5.68 eV/f.u.
1.0
-4.144 0.994 1.808
1.043 -2.751 3.903
1.811 3.695 2.121
Zn Mn W Pd
2 1 1 1
direct
0.500 0.000 0.000
0.000 0.000 0.500
0.500 0.500 0.500
0.000 0.500 0.000
0.000 0.000 0.000

=====

# 2
YMnPd6 (PBE, relaxed); Fermi-level density of states = 4.9 states/eV per cell; size of the total moment = 4.552 Bohr magnetons per cell; polymorph energy (0 for the lowest one) = 507 meV/atom; formation energy = -0.02 eV/f.u.
1.0
-0.440 0.828 -5.292
3.000 -4.313 -1.133
-4.324 -3.172 -0.345
Pd Mn Y
6 1 1
direct
0.829 0.829 0.462
0.171 0.538 0.171
0.538 0.171 0.171
0.829 0.462 0.829
0.171 0.171 0.538
0.462 0.829 0.829
0.500 0.500 0.500
0.000 0.000 0.000

=====

# 3
YMn2Pd8 (PBE, relaxed); Fermi-level density of states = 4.8 states/eV per cell; size of the total moment = 9.232 Bohr magnetons per cell; formation energy = -4.48 eV/f.u.
1.0
4.074 0.000 0.000
0.000 6.368 0.340
-2.037 -2.402 6.727
Pd Y Mn
8 1 2
direct
0.684 0.918 0.367
0.046 0.720 0.092
0.854 0.795 0.708
0.600 0.469 0.200
0.400 0.531 0.800
0.146 0.205 0.292
0.954 0.280 0.908
0.316 0.082 0.633
0.500 0.000 0.000
0.775 0.347 0.550
0.225 0.653 0.450

=====

# 4
Y2Mn2Pd (PBE, relaxed); Fermi-level density of states = 10.0 states/eV per cell; size of the total moment = 5.546 Bohr magnetons per cell; formation energy = -0.27 eV/f.u.
1.0
6.708 0.000 0.000
0.000 6.708 0.000
0.000 0.000 4.311
Mn Y Pd
4 4 2
direct
0.609 0.109 0.000
0.391 0.891 0.000
0.109 0.391 0.000
0.891 0.609 0.000
0.183 0.683 0.500
0.317 0.183 0.500
0.683 0.817 0.500
0.817 0.317 0.500
0.500 0.500 0.000
0.000 0.000 0.000

=====

# 5
YMn2Pd2 (PBE, relaxed); Fermi-level density of states = 14.5 states/eV per cell; size of the total moment = 0.001 Bohr magnetons per cell; polymorph energy (0 for the lowest one) = 15 meV/atom; formation energy = 0.33 eV/f.u.
1.0
-5.580 -4.640 -2.042
-1.605 -1.263 7.257
-1.804 2.179 -0.020
Mn Y Pd
4 2 4
direct
0.591 0.091 0.000
0.909 0.591 0.000
0.409 0.909 0.000
0.091 0.409 0.000
0.500 0.500 0.000
0.000 0.000 0.000
0.696 0.804 0.500
0.304 0.196 0.500
0.804 0.304 0.500
0.196 0.696 0.500

=====

# 6
YMn3Pd12 (PBE, relaxed); Fermi-level density of states = 16.9 states/eV per cell; size of the total moment = 13.255 Bohr magnetons per cell; formation energy = -5.84 eV/f.u.
1.0
3.991 0.000 0.000
0.000 3.991 0.000
0.000 0.000 15.816
Pd Mn Y
12 3 1
direct
0.500 0.000 0.136
0.000 0.500 0.379
0.500 0.000 0.379
0.500 0.500 0.000
0.000 0.500 0.621
0.000 0.500 0.864
0.500 0.500 0.743
0.000 0.500 0.136
0.500 0.000 0.864
0.500 0.500 0.257
0.500 0.500 0.500
0.500 0.000 0.621
0.000 0.000 0.258
0.000 0.000 0.500
0.000 0.000 0.742
0.000 0.000 0.000

=====

# 7
Y2MnPd (PBE, relaxed); Fermi-level density of states = 13.2 states/eV per cell; size of the total moment = 0.683 Bohr magnetons per cell; formation energy = 2.53 eV/f.u.
1.0
4.513 0.000 0.000
0.000 4.513 0.000
2.257 2.257 9.126
Pd Mn Y
2 2 4
direct
0.000 0.000 0.000
0.750 0.250 0.500
0.500 0.500 0.000
0.250 0.750 0.500
0.130 0.625 0.250
0.620 0.125 0.250
0.875 0.870 0.750
0.375 0.380 0.750

=====

# 8
Y3MnPd (PBE, relaxed); Fermi-level density of states = 5.4 states/eV per cell; size of the total moment = 0.952 Bohr magnetons per cell; polymorph energy (0 for the lowest one) = 0 meV/atom; formation energy = 0.89 eV/f.u.
1.0
-0.341 2.791 -4.249
1.156 -4.104 -2.789
-4.950 -1.150 -0.358
Y Pd Mn
3 1 1
direct
0.500 0.000 0.000
0.000 0.000 0.500
0.000 0.500 0.000
0.500 0.500 0.500
0.000 0.000 0.000

=====

# 9
Y2MnPd (PBE, relaxed); Fermi-level density of states = 4.6 states/eV per cell; size of the total moment = 2.722 Bohr magnetons per cell; formation energy = -1.32 eV/f.u.
1.0
-2.521 2.463 0.162
-2.124 -2.282 1.652
2.501 2.153 6.189
Y Mn Pd
2 1 1
direct
0.000 0.000 0.251
0.000 0.000 0.749
0.500 0.500 0.000
0.500 0.500 0.500

=====

# 10
YMnPd6 (PBE, relaxed); Fermi-level density of states = 8.5 states/eV per cell; size of the total moment = 4.256 Bohr magnetons per cell; polymorph energy (0 for the lowest one) = 0 meV/atom; formation energy = -4.08 eV/f.u.
1.0
4.048 0.000 0.000
0.000 4.048 0.000
0.000 0.000 8.010
Pd Y Mn
6 1 1
direct
0.500 0.000 0.265
0.000 0.500 0.735
0.500 0.000 0.735
0.000 0.500 0.265
0.500 0.500 0.000
0.500 0.500 0.500
0.000 0.000 0.000
0.000 0.000 0.500

=====

# 11
YMn3Pd (PBE, relaxed); Fermi-level density of states = 2.6 states/eV per cell; size of the total moment = 10.259 Bohr magnetons per cell; polymorph energy (0 for the lowest one) = 1076 meV/atom; formation energy = 8.18 eV/f.u.
1.0
4.764 0.000 0.000
0.000 4.764 0.000
0.000 0.000 4.764
Mn Y Pd
3 1 1
direct
0.000 0.000 0.500
0.000 0.500 0.000
0.500 0.000 0.000
0.000 0.000 0.000
0.500 0.500 0.500

=====

# 12
YMn3Pd (PBE, relaxed); Fermi-level density of states = 3.7 states/eV per cell; size of the total moment = 12.183 Bohr magnetons per cell; polymorph energy (0 for the lowest one) = 0 meV/atom; formation energy = 2.80 eV/f.u.
1.0
-0.807 4.246 -2.154
-4.262 -1.617 -1.591
-2.120 1.635 4.018
Mn Pd Y
3 1 1
direct
0.000 0.500 0.000
0.000 0.000 0.500
0.500 0.000 0.000
0.000 0.000 0.000
0.500 0.500 0.500